1.
# LiZr2Tc (PBE, optimized geometry)
data_LiZr2Tc
_chemical_formula_sum 'Li4 Zr8 Tc4'
_cell_length_a 6.610
_cell_length_b 6.610
_cell_length_c 6.610
_cell_angle_alpha 90.00
_cell_angle_beta 90.00
_cell_angle_gamma 90.00
_space_group_name_H-M_alt 'F m -3 m'
_space_group_IT_number 225
_space_group_name_Hall '-F 4 2 3'
loop_
_atom_site_label
_atom_site_fract_x
_atom_site_fract_y
_atom_site_fract_z
Li1 0.000 0.000 0.000
Zr1 0.250 0.250 0.250
Tc1 0.000 0.000 0.500
# Magnetic moment in μB per formula unit: 0.00
# Density in g/cm³: 6.61
# Crystal system: cubic
# Excess energy over the best structure of this formula in the dataset in kcal/mol of atoms: 0.000

2.
# LiZr2Tc (PBE, optimized geometry)
data_LiZr2Tc
_chemical_formula_sum 'Li4 Zr8 Tc4'
_cell_length_a 4.915
_cell_length_b 8.345
_cell_length_c 7.324
_cell_angle_alpha 90.00
_cell_angle_beta 90.00
_cell_angle_gamma 90.00
_space_group_name_H-M_alt 'P n m a'
_space_group_IT_number 62
loop_
_space_group_symop_operation_xyz
'x,y,z'
'-x,-y,-z'
'-x+1/2,-y,z+1/2'
'x+1/2,y,-z+1/2'
'x+1/2,-y+1/2,-z+1/2'
'-x+1/2,y+1/2,z+1/2'
'-x,y+1/2,-z'
'x,-y+1/2,z'
loop_
_atom_site_label
_atom_site_fract_x
_atom_site_fract_y
_atom_site_fract_z
Li1 0.002 0.250 0.249
Zr1 0.250 0.062 0.894
Tc1 0.250 0.250 0.594
# Magnetic moment in μB per formula unit: 0.01
# Density in g/cm³: 6.35
# Crystal system: orthorhombic
# Excess energy over the best structure of this formula in the dataset in kcal/mol of atoms: 3.285

3.
# LiZr2Tc (PBE, optimized geometry)
data_LiZr2Tc
_chemical_formula_sum 'Li1 Zr2 Tc1'
_cell_length_a 4.627
_cell_length_b 4.627
_cell_length_c 3.356
_cell_angle_alpha 90.00
_cell_angle_beta 90.00
_cell_angle_gamma 90.00
_space_group_name_H-M_alt 'P 4/m m m'
_space_group_IT_number 123
_space_group_name_Hall '-P 4 2'
loop_
_atom_site_label
_atom_site_fract_x
_atom_site_fract_y
_atom_site_fract_z
Li1 0.000 0.000 0.000
Zr1 0.000 0.500 0.500
Tc1 0.500 0.500 0.000
# Magnetic moment in μB per formula unit: 0.00
# Density in g/cm³: 6.64
# Crystal system: tetragonal
# Excess energy over the best structure of this formula in the dataset in kcal/mol of atoms: 1.697

4.
# LiThTlTe3 (PBE, optimized geometry)
data_LiThTlTe3
_chemical_formula_sum 'Li4 Th4 Tl4 Te12'
_cell_length_a 4.540
_cell_length_b 15.094
_cell_length_c 11.892
_cell_angle_alpha 90.00
_cell_angle_beta 90.00
_cell_angle_gamma 90.00
_space_group_name_H-M_alt 'C m c m'
_space_group_IT_number 63
_space_group_name_Hall '-C 2c 2'
loop_
_atom_site_label
_atom_site_fract_x
_atom_site_fract_y
_atom_site_fract_z
Li1 0.000 0.037 0.250
Th1 0.000 0.500 0.000
Tl1 0.000 0.247 0.750
Te1 0.000 0.137 0.056
Te2 0.000 0.431 0.250
# Magnetic moment in μB per formula unit: 0.00
# Density in g/cm³: 6.73
# Calculated total energy in eV per atom: -4.473
# Crystal system: orthorhombic

5.
# LiZrTlTe3 (PBE, optimized geometry)
data_LiZrTlTe3
_chemical_formula_sum 'Li2 Zr2 Tl2 Te6'
_cell_length_a 8.522
_cell_length_b 4.190
_cell_length_c 10.946
_cell_angle_alpha 90.00
_cell_angle_beta 109.10
_cell_angle_gamma 90.00
_space_group_name_H-M_alt 'P 1 21/m 1'
_space_group_IT_number 11
loop_
_space_group_symop_operation_xyz
'x,y,z'
'-x,-y,-z'
'-x,y+1/2,-z'
'x,-y+1/2,z'
loop_
_atom_site_label
_atom_site_fract_x
_atom_site_fract_y
_atom_site_fract_z
Li1 0.072 0.250 0.102
Zr1 0.308 0.750 0.339
Tl1 0.270 0.250 0.812
Te1 0.077 0.250 0.354
Te2 0.260 0.750 0.067
Te3 0.435 0.750 0.628
# Magnetic moment in μB per formula unit: 0.01
# Density in g/cm³: 6.16
# Crystal system: monoclinic
# Excess energy over the best structure of this formula in the dataset in kcal/mol of atoms: 0.069

6.
# LiZrTlTe3 (PBE, optimized geometry)
data_LiZrTlTe3
_chemical_formula_sum 'Li4 Zr4 Tl4 Te12'
_cell_length_a 15.330
_cell_length_b 4.197
_cell_length_c 11.471
_cell_angle_alpha 90.00
_cell_angle_beta 90.00
_cell_angle_gamma 90.00
_space_group_name_H-M_alt 'P n m a'
_space_group_IT_number 62
loop_
_space_group_symop_operation_xyz
'x,y,z'
'-x,-y,-z'
'-x+1/2,-y,z+1/2'
'x+1/2,y,-z+1/2'
'x+1/2,-y+1/2,-z+1/2'
'-x+1/2,y+1/2,z+1/2'
'-x,y+1/2,-z'
'x,-y+1/2,z'
loop_
_atom_site_label
_atom_site_fract_x
_atom_site_fract_y
_atom_site_fract_z
Li1 0.019 0.250 0.093
Zr1 0.016 0.750 0.332
Tl1 0.224 0.750 0.031
Te1 0.092 0.250 0.869
Te2 0.097 0.750 0.568
Te3 0.142 0.250 0.267
# Magnetic moment in μB per formula unit: 0.00
# Density in g/cm³: 6.17
# Crystal system: orthorhombic
# Excess energy over the best structure of this formula in the dataset in kcal/mol of atoms: 0.000

7.
# LiZrTlTe3 (PBE, optimized geometry)
data_LiZrTlTe3
_chemical_formula_sum 'Li4 Zr4 Tl4 Te12'
_cell_length_a 4.182
_cell_length_b 15.156
_cell_length_c 11.151
_cell_angle_alpha 90.00
_cell_angle_beta 90.00
_cell_angle_gamma 90.00
_space_group_name_H-M_alt 'C m c m'
_space_group_IT_number 63
_space_group_name_Hall '-C 2c 2'
loop_
_atom_site_label
_atom_site_fract_x
_atom_site_fract_y
_atom_site_fract_z
Li1 0.000 0.043 0.250
Zr1 0.000 0.500 0.000
Tl1 0.000 0.247 0.750
Te1 0.000 0.133 0.043
Te2 0.000 0.433 0.250
# Magnetic moment in μB per formula unit: 0.00
# Density in g/cm³: 6.44
# Crystal system: orthorhombic
# Excess energy over the best structure of this formula in the dataset in kcal/mol of atoms: 0.155

8.
# LiTmTe (PBE, optimized geometry)
data_LiTmTe
_chemical_formula_sum 'Li4 Tm4 Te4'
_cell_length_a 6.980
_cell_length_b 6.980
_cell_length_c 6.980
_cell_angle_alpha 90.00
_cell_angle_beta 90.00
_cell_angle_gamma 90.00
_space_group_name_H-M_alt 'F -4 3 m'
_space_group_IT_number 216
_space_group_name_Hall 'F -4 2 3'
loop_
_atom_site_label
_atom_site_fract_x
_atom_site_fract_y
_atom_site_fract_z
Li1 0.000 0.000 0.000
Tm1 0.250 0.250 0.250
Te1 0.000 0.000 0.500
# Magnetic moment in μB per formula unit: 0.00
# Density in g/cm³: 5.93
# Crystal system: cubic
# Excess energy over the best structure of this formula in the dataset in kcal/mol of atoms: 4.661

9.
# LiTmTe (PBE, optimized geometry)
data_LiTmTe
_chemical_formula_sum 'Li4 Tm4 Te4'
_cell_length_a 6.828
_cell_length_b 6.828
_cell_length_c 6.828
_cell_angle_alpha 90.00
_cell_angle_beta 90.00
_cell_angle_gamma 90.00
_space_group_name_H-M_alt 'F -4 3 m'
_space_group_IT_number 216
_space_group_name_Hall 'F -4 2 3'
loop_
_atom_site_label
_atom_site_fract_x
_atom_site_fract_y
_atom_site_fract_z
Li1 0.000 0.000 0.000
Tm1 0.000 0.000 0.500
Te1 0.250 0.250 0.750
# Magnetic moment in μB per formula unit: 0.00
# Density in g/cm³: 6.33
# Crystal system: cubic
# Excess energy over the best structure of this formula in the dataset in kcal/mol of atoms: 0.000

10.
# LiTmZnTe3 (PBE, optimized geometry)
data_LiTmZnTe3
_chemical_formula_sum 'Li4 Tm4 Zn4 Te12'
_cell_length_a 4.197
_cell_length_b 14.354
_cell_length_c 11.356
_cell_angle_alpha 90.00
_cell_angle_beta 90.00
_cell_angle_gamma 90.00
_space_group_name_H-M_alt 'C m c m'
_space_group_IT_number 63
_space_group_name_Hall '-C 2c 2'
loop_
_atom_site_label
_atom_site_fract_x
_atom_site_fract_y
_atom_site_fract_z
Li1 0.000 0.203 0.250
Tm1 0.000 0.000 0.000
Zn1 0.000 0.477 0.750
Te1 0.000 0.094 0.750
Te2 0.000 0.357 0.570
# Magnetic moment in μB per formula unit: 0.00
# Density in g/cm³: 6.06
# Crystal system: orthorhombic
# Excess energy over the best structure of this formula in the dataset in kcal/mol of atoms: 0.000

11.
# LiTmZnTe3 (PBE, optimized geometry)
data_LiTmZnTe3
_chemical_formula_sum 'Li4 Tm4 Zn4 Te12'
_cell_length_a 12.550
_cell_length_b 4.244
_cell_length_c 12.935
_cell_angle_alpha 90.00
_cell_angle_beta 90.00
_cell_angle_gamma 90.00
_space_group_name_H-M_alt 'P n m a'
_space_group_IT_number 62
loop_
_space_group_symop_operation_xyz
'x,y,z'
'-x,-y,-z'
'-x+1/2,-y,z+1/2'
'x+1/2,y,-z+1/2'
'x+1/2,-y+1/2,-z+1/2'
'-x+1/2,y+1/2,z+1/2'
'-x,y+1/2,-z'
'x,-y+1/2,z'
loop_
_atom_site_label
_atom_site_fract_x
_atom_site_fract_y
_atom_site_fract_z
Li1 0.127 0.250 0.008
Tm1 0.039 0.250 0.691
Zn1 0.235 0.250 0.284
Te1 0.066 0.750 0.863
Te2 0.085 0.250 0.421
Te3 0.223 0.750 0.156
# Magnetic moment in μB per formula unit: 0.00
# Density in g/cm³: 6.02
# Crystal system: orthorhombic
# Excess energy over the best structure of this formula in the dataset in kcal/mol of atoms: 1.074

12.
# LiU2Te6 (PBE, optimized geometry)
data_LiU2Te6
_chemical_formula_sum 'Li2 U4 Te12'
_cell_length_a 4.160
_cell_length_b 6.114
_cell_length_c 21.725
_cell_angle_alpha 90.00
_cell_angle_beta 90.00
_cell_angle_gamma 90.00
_space_group_name_H-M_alt 'I m m m'
_space_group_IT_number 71
_space_group_name_Hall '-I 2 2'
loop_
_atom_site_label
_atom_site_fract_x
_atom_site_fract_y
_atom_site_fract_z
Li1 0.000 0.000 0.000
U1 0.000 0.500 0.174
Te1 0.000 0.000 0.221
Te2 0.000 0.250 0.408
# Magnetic moment in μB per formula unit: 4.00
# Density in g/cm³: 7.50
# Calculated total energy in eV per atom: -5.415
# Crystal system: orthorhombic

Which of these has the highest magnetic moment?
LiU2Te6

The highest magnetic moment belongs to which entry?
LiU2Te6